1.
First-principles (GGA-PBE) data for an optimized crystal structure of CrSn2PdSe, as listed in Alexandria.

Structure (POSCAR):
```
CrSn2PdSe
1.0
5.508 0.000 0.000
0.000 4.594 0.000
0.000 0.000 5.508
Cr Se Sn Pd
1 1 2 1
direct
0.000 0.500 0.000
0.000 0.000 0.000
0.000 0.000 0.500
0.500 0.000 0.000
0.500 0.500 0.500
```

Values from the calculation:
As for the crystal system: tetragonal.

2.
First-principles (GGA-PBE) data for an optimized crystal structure of YCrPdSe2, as listed in Alexandria.

Structure (POSCAR):
```
YCrPdSe2
1.0
4.594 0.000 0.000
0.000 5.263 0.000
0.000 0.000 4.594
Y Cr Se Pd
1 1 2 1
direct
0.000 0.500 0.000
0.000 0.000 0.000
0.000 0.000 0.500
0.500 0.000 0.000
0.500 0.500 0.500
```

Values from the calculation:
As for the crystal system: tetragonal.

3.
First-principles (GGA-PBE) data for an optimized crystal structure of Cr3SiPd, as listed in Alexandria.

Structure (POSCAR):
```
Cr3SiPd
1.0
-1.358 -2.367 -3.331
0.653 -3.591 2.286
-4.034 0.216 1.491
Cr Si Pd
3 1 1
direct
0.000 0.500 0.000
0.000 0.000 0.500
0.500 0.000 0.000
0.000 0.000 0.000
0.500 0.500 0.500
```

Values from the calculation:
The calculation puts the energy above the most stable polymorph in this dataset at 0.00 kcal/mol of atoms. As for the crystal system: cubic.

| no. | theoretical density (g/cm³) | raw formation energy (eV per atom) | D(E_F) (states/eV/cell) |
| --- | --- | --- | --- |
| 1 | 5.7 | 0.64 | 2.74 |
| 2 | 6.1 | 0.10 | 5.72 |
| 3 | 6.0 | 0.97 | 5.30 |